(1)
Li3NbF6, optimized geometry, DFT PBE; distance to the lowest polymorph of the same formula = 0.000 eV per atom; space-group type = P-1, No. 2
1.0
5.8174 0.3756 1.7595
3.1326 5.2201 -0.9277
4.3566 -1.3794 6.9149
Li Nb F
3 1 6
Direct
0.0000 0.0000 0.5000
0.0000 0.5000 0.0000
0.5000 0.5000 0.0000
0.0000 0.0000 0.0000
0.4627 0.4905 0.7916
0.5373 0.5095 0.2084
0.9449 0.0512 0.7801
0.0551 0.9488 0.2199
0.4452 0.0498 0.7729
0.5548 0.9502 0.2271

(2)
YAgIr2, optimized geometry, DFT PBE; distance to the lowest polymorph of the same formula = 0.564 eV per atom; space-group type = R3m, No. 160; energy of formation = 342 meV/atom
1.0
-7.7175 3.2303 -5.2290
-9.1669 2.1400 -2.9542
-8.1090 4.8479 -2.8427
Ag Ir Y
1 2 1
Direct
0.7434 0.7434 0.7434
0.9958 0.9958 0.9958
0.2573 0.2573 0.2573
0.5035 0.5035 0.5035

(3)
CeHo2Cd, optimized geometry, DFT PBE; distance to the lowest polymorph of the same formula = 0.063 eV per atom; space-group type = R-3m, No. 166; energy of formation = -46 meV/atom
1.0
-0.3224 0.6563 -3.4213
0.5928 -2.5398 -2.3318
-10.2667 -3.4450 -1.4822
Ho Ce Cd
2 1 1
Direct
0.2543 0.2543 0.2372
0.7457 0.7457 0.7628
0.5000 0.5000 0.5000
0.0000 0.0000 0.0000

(4)
AcCeGaOs, optimized geometry, DFT PBE; space-group type = F-43m, No. 216; energy of formation = -80 meV/atom
1.0
5.1887 0.0000 0.0000
2.5943 4.4935 0.0000
2.5943 1.4978 4.2366
Ac Os Ga Ce
1 1 1 1
Direct
0.5000 0.5000 0.5000
0.7500 0.7500 0.7500
0.2500 0.2500 0.2500
0.0000 0.0000 0.0000

(5)
MgAlIn2Se6, optimized geometry, DFT PBE; E_tot = -3.756 eV/atom; space-group type = C2/c, No. 15
1.0
-0.4858 -0.8455 6.5575
6.5980 -7.7822 2.5202
5.8633 7.5087 4.4373
Mg Al In Se
2 2 4 12
Direct
0.2500 0.2117 0.7883
0.7500 0.7883 0.2117
0.2500 0.8134 0.1866
0.7500 0.1866 0.8134
0.1909 0.8204 0.6211
0.3091 0.3789 0.1796
0.8091 0.1796 0.3789
0.6909 0.6211 0.8204
0.0782 0.0151 0.8202
0.4218 0.1798 0.9849
0.9218 0.9849 0.1798
0.5782 0.8202 0.0151
0.3482 0.8822 0.3797
0.1518 0.6203 0.1178
0.6518 0.1178 0.6203
0.8482 0.3797 0.8822
0.0070 0.6337 0.6068
0.4930 0.3932 0.3663
0.9930 0.3663 0.3932
0.5070 0.6068 0.6337

(6)
GeBi3Pd12, optimized geometry, DFT PBE; space-group type = P4/mmm, No. 123; energy of formation = -261 meV/atom
1.0
4.1102 0.0000 0.0000
0.0000 4.1102 0.0000
0.0000 0.0000 16.1897
Ge Bi Pd
1 3 12
Direct
0.0000 0.0000 0.0000
0.0000 0.0000 0.2423
0.0000 0.0000 0.5000
0.0000 0.0000 0.7577
0.5000 0.5000 0.0000
0.5000 0.5000 0.2424
0.5000 0.5000 0.5000
0.5000 0.5000 0.7576
0.5000 0.0000 0.1121
0.5000 0.0000 0.3716
0.5000 0.0000 0.6284
0.5000 0.0000 0.8879
0.0000 0.5000 0.1121
0.0000 0.5000 0.3716
0.0000 0.5000 0.6284
0.0000 0.5000 0.8879

(7)
NaScO2, optimized geometry, DFT PBE; E_tot = -7.224 eV/atom; space-group type = P6_3/mmc, No. 194
1.0
3.1781 0.0000 0.0000
-1.5891 2.7524 0.0000
0.0000 0.0000 11.0826
Na Sc O
2 2 4
Direct
0.6667 0.3333 0.2500
0.3333 0.6667 0.7500
0.0000 0.0000 0.5000
0.0000 0.0000 0.0000
0.3333 0.6667 0.3994
0.6667 0.3333 0.8994
0.6667 0.3333 0.6006
0.3333 0.6667 0.1006

(8)
ScCuMo2, optimized geometry, DFT PBE; distance to the lowest polymorph of the same formula = 0.053 eV per atom; space-group type = Pmmm, No. 47; energy of formation = 93 meV/atom
1.0
3.3294 0.0000 0.0000
0.0000 4.2040 0.0121
0.0000 4.1889 4.6202
Cu Mo Sc
1 2 1
Direct
0.0000 0.0000 0.5000
0.0000 0.0000 0.0000
0.5000 0.5000 0.0000
0.5000 0.5000 0.5000

> Number 4 is which compound?

AcCeGaOs